VASP calculation (PBE) on a relaxed structure of ZrGePt3.

N(E_F) = 2.73 states/eV per cell
Space group = Pm-3m, No. 221
DFT formation energy = 0.719 eV/atom
Offset from the most stable computed form = 3.40 eV/f.u.

abc: 4.9824 4.9824 4.9824
angles: 90.00 90.00 90.00
With the nearest neighbours (Å) after each atom.
Sites, in units of the cell vectors:
Ge: 0.5000 0.5000 0.5000  12 Pt 3.52
Zr: 0.0000 0.0000 0.0000  6 Pt 2.49
Pt: 0.0000 0.5000 0.0000  2 Zr 2.49
Pt: 0.0000 0.0000 0.5000  2 Zr 2.49
Pt: 0.5000 0.0000 0.0000  2 Zr 2.49